1.
DFT (GGA-PBE) results for a relaxed OsPtO2F crystal.

## Properties
**Formation energy without anion corrections**: -57 meV/atom
**Final energy**: -5.87 eV/atom

Lattice parameters (Å, degrees): 3.6485 3.6485 6.1941 90.00 90.00 90.00
Space group P4/mmm (No. 123)
One atom of each set of equivalent atoms:
Os  0.0000  0.0000  0.0000 (multiplicity 1)
Pt  0.5000  0.5000  0.5000 (multiplicity 1)
O  0.0000  0.5000  0.0000 (multiplicity 2)
F  0.0000  0.0000  0.5000 (multiplicity 1)

2.
DFT (GGA-PBE) results for a relaxed RbOsO4F crystal.

## Properties
**Formation energy without anion corrections**: -1470 meV/atom
**Final energy**: -6.31 eV/atom

Lattice parameters (Å, degrees): 9.2173 8.9418 8.1420 90.00 96.76 90.00
Space group C2/m (No. 12)
One atom of each set of equivalent atoms:
Rb  0.1721  0.0000  0.1827 (multiplicity 4)
Os  0.1675  0.5000  0.2550 (multiplicity 4)
O  0.0070  0.5000  0.6826 (multiplicity 4)
O  0.1584  0.3333  0.1434 (multiplicity 8)
O  0.2250  0.0000  0.5549 (multiplicity 4)
F  0.1216  0.0000  0.8347 (multiplicity 4)

3.
DFT (GGA-PBE) results for a relaxed Rb2OsOF6 crystal.

## Properties
**Formation energy without anion corrections**: -1732 meV/atom
**Final energy**: -4.67 eV/atom

Lattice parameters (Å, degrees): 6.4295 6.4295 9.5198 90.00 90.00 90.00
Space group I4/mmm (No. 139)
One atom of each set of equivalent atoms:
Rb  0.0000  0.5000  0.2500 (multiplicity 4)
Os  0.0000  0.0000  0.0000 (multiplicity 2)
O  0.0000  0.0000  0.5000 (multiplicity 2)
F  0.0000  0.0000  0.2047 (multiplicity 4)
F  0.2155  0.2155  0.0000 (multiplicity 8)

4.
DFT (GGA-PBE) results for a relaxed Rb5OsO4F2 crystal.

## Properties
**Formation energy without anion corrections**: -1693 meV/atom
**Final energy**: -5.00 eV/atom

Lattice parameters (Å, degrees): 7.7265 10.7819 6.8075 90.00 90.00 90.00
Space group Amm2 (No. 38)
One atom of each set of equivalent atoms:
Rb  0.0000  0.0000  0.0000 (multiplicity 2)
Rb  0.2612  0.1818  0.4804 (multiplicity 8)
Os  0.5000  0.0000  0.9833 (multiplicity 2)
O  0.3373  0.0000  0.1953 (multiplicity 4)
O  0.5000  0.1381  0.8309 (multiplicity 4)
F  0.0000  0.2081  0.7540 (multiplicity 4)

5.
DFT (GGA-PBE) results for a relaxed Rb2OsO2F4 crystal.

## Properties
**Formation energy without anion corrections**: -2037 meV/atom
**Final energy**: -5.43 eV/atom

Lattice parameters (Å, degrees): 10.3067 6.2525 4.9271 90.00 91.79 90.00
Space group C2/m (No. 12)
One atom of each set of equivalent atoms:
Rb  0.1635  0.0000  0.2995 (multiplicity 4)
Os  0.0000  0.5000  0.0000 (multiplicity 2)
O  0.1328  0.5000  0.2329 (multiplicity 4)
F  0.0854  0.2627  0.7941 (multiplicity 8)

6.
DFT (GGA-PBE) results for a relaxed Rb3OsO6F2 crystal.

## Properties
**Formation energy without anion corrections**: -1167 meV/atom
**Final energy**: -5.14 eV/atom

Lattice parameters (Å, degrees): 14.5436 7.8992 3.9376 90.00 96.31 90.00
Space group C2/m (No. 12)
One atom of each set of equivalent atoms:
Rb  0.0000  0.0000  0.0000 (multiplicity 2)
Rb  0.2500  0.2500  0.0000 (multiplicity 4)
Os  0.0000  0.5000  0.5000 (multiplicity 2)
O  0.0596  0.3349  0.7747 (multiplicity 8)
O  0.1005  0.5000  0.2269 (multiplicity 4)
F  0.1729  0.0000  0.4380 (multiplicity 4)